A plane-wave DFT calculation with PBE was carried out for an optimized crystal structure of Pm6Nd2Er3Sc.

Results
Density of states at the Fermi level ... 1.26 states/eV/atom
DFT formation energy ... 25.7 meV per atom
Symmetry ... C2/m
Raw total energy ... -4.813 eV/atom

```
Pm6Nd2Er3Sc
1.0
3.111 -5.390 0.000
3.111 5.390 0.000
-2.076 0.000 11.661
Pm Nd Er Sc
6 2 3 1
Direct
0.083 0.413 0.751
0.247 0.247 0.248
0.413 0.083 0.751
0.587 0.917 0.249
0.753 0.753 0.752
0.917 0.587 0.249
0.333 0.667 0.500
0.667 0.333 0.500
0.166 0.834 0.000
0.500 0.500 0.000
0.834 0.166 0.000
0.000 0.000 0.500
```